# 1
Density functional theory data (PBE) for a geometry-optimized VPt structure.

Output
Symmetry ... No. 141
Crystal system ... tetragonal
DFT total energy ... -64.39 eV per cell

Lattice parameters (Å, degrees): 3.865 3.865 7.782 90.00 90.00 90.00
Sites, in units of the cell vectors:
V 0.000 0.000 0.000
V 0.000 0.500 0.250
V 0.500 0.500 0.500
V 0.500 0.000 0.750
Pt 0.500 0.500 0.000
Pt 0.000 0.500 0.750
Pt 0.500 0.000 0.250
Pt 0.000 0.000 0.500

=====

# 2
Density functional theory data (PBE) for a geometry-optimized BiAsPd2W structure.

Output
Symmetry ... No. 123
Crystal system ... tetragonal
DFT total energy ... -28.36 eV per cell

Lattice parameters (Å, degrees): 4.960 4.767 4.960 90.00 90.00 90.00
Sites, in units of the cell vectors:
Bi 0.500 0.500 0.500
Pd 0.500 0.000 0.000
Pd 0.000 0.000 0.500
W 0.000 0.000 0.000
As 0.000 0.500 0.000

=====

# 3
Density functional theory data (PBE) for a geometry-optimized CaPr2Ho structure.

Output
Symmetry ... No. 123
Polymorph energy (0 for the lowest one) ... 0.242 eV per formula unit
Crystal system ... tetragonal

Lattice parameters (Å, degrees): 5.023 5.311 5.311 90.00 90.00 90.00
Sites, in units of the cell vectors:
Pr 0.000 0.500 0.000
Pr 0.000 0.000 0.500
Ho 0.500 0.500 0.500
Ca 0.500 0.000 0.000

=====

# 4
Density functional theory data (PBE) for a geometry-optimized CeHo6Te8 structure.

Output
Symmetry ... No. 148
Polymorph energy (0 for the lowest one) ... 1.997 eV per formula unit
Crystal system ... trigonal
ΔE_f (raw) ... -17.9 eV/f.u.

Lattice parameters (Å, degrees): 8.153 8.153 8.153 69.62 69.62 69.62
Sites, in units of the cell vectors:
Ho 0.923 0.548 0.307
Ho 0.693 0.077 0.452
Ho 0.548 0.307 0.923
Ho 0.077 0.452 0.693
Ho 0.452 0.693 0.077
Ho 0.307 0.923 0.548
Te 0.102 0.807 0.374
Te 0.898 0.193 0.626
Te 0.626 0.898 0.193
Te 0.193 0.626 0.898
Te 0.374 0.102 0.807
Te 0.325 0.325 0.325
Te 0.807 0.374 0.102
Te 0.675 0.675 0.675
Ce 0.000 0.000 0.000

=====

# 5
Density functional theory data (PBE) for a geometry-optimized Co2SeBr structure.

Output
Symmetry ... No. 119
Polymorph energy (0 for the lowest one) ... 2.358 eV per formula unit
Crystal system ... tetragonal
ΔE_f (raw) ... 2.1 eV/f.u.

Lattice parameters (Å, degrees): 7.006 7.006 7.006 151.31 151.31 41.02
Sites, in units of the cell vectors:
Br 0.750 0.250 0.500
Se 0.500 0.500 0.000
Co 0.000 0.000 0.000
Co 0.250 0.750 0.500

=====

# 6
Density functional theory data (PBE) for a geometry-optimized Ac5ThSi4 structure.

Output
Symmetry ... No. 12
Crystal system ... monoclinic
ΔE_f (raw) ... -3.6 eV/f.u.

Lattice parameters (Å, degrees): 4.447 8.751 9.985 103.94 102.87 90.00
Sites, in units of the cell vectors:
Si 0.000 0.241 0.000
Si 0.336 0.908 0.672
Si 0.664 0.092 0.328
Si 0.000 0.759 0.000
Ac 0.166 0.844 0.333
Ac 0.837 0.666 0.674
Ac 0.163 0.334 0.326
Ac 0.834 0.156 0.667
Ac 0.500 0.500 0.000
Th 0.500 0.000 0.000

=====

# 7
Density functional theory data (PBE) for a geometry-optimized Rb3MnS4 structure.

Output
Symmetry ... No. 62
Crystal system ... orthorhombic
ΔE_f (raw) ... -7.5 eV/f.u.

Lattice parameters (Å, degrees): 9.467 9.510 11.115 90.00 90.00 90.00
Sites, in units of the cell vectors:
S 0.294 0.238 0.750
S 0.670 0.547 0.592
S 0.170 0.953 0.908
S 0.330 0.453 0.092
S 0.670 0.547 0.908
S 0.830 0.047 0.408
S 0.516 0.073 0.250
S 0.484 0.927 0.750
S 0.206 0.738 0.250
S 0.016 0.427 0.250
S 0.830 0.047 0.092
S 0.170 0.953 0.592
S 0.794 0.262 0.750
S 0.984 0.573 0.750
S 0.706 0.762 0.250
S 0.330 0.453 0.408
Rb 0.546 0.206 0.544
Rb 0.353 0.585 0.750
Rb 0.954 0.706 0.456
Rb 0.046 0.294 0.956
Rb 0.454 0.794 0.044
Rb 0.647 0.415 0.250
Rb 0.954 0.706 0.044
Rb 0.454 0.794 0.456
Rb 0.853 0.915 0.750
Rb 0.546 0.206 0.956
Rb 0.147 0.085 0.250
Rb 0.046 0.294 0.544
Mn 0.723 0.984 0.250
Mn 0.277 0.016 0.750
Mn 0.223 0.516 0.250
Mn 0.777 0.484 0.750

=====

# 8
Density functional theory data (PBE) for a geometry-optimized SmDy2Ho3P6 structure.

Output
Symmetry ... No. 12
Crystal system ... monoclinic
DFT total energy ... -79.37 eV per cell

Lattice parameters (Å, degrees): 6.952 6.952 6.953 99.59 99.59 119.99
Sites, in units of the cell vectors:
P 0.421 0.084 0.253
P 0.916 0.579 0.747
P 0.084 0.421 0.253
P 0.252 0.252 0.747
P 0.579 0.916 0.747
P 0.748 0.748 0.253
Sm 0.000 0.000 0.000
Dy 0.333 0.667 0.000
Dy 0.667 0.333 0.000
Ho 0.834 0.166 0.500
Ho 0.166 0.834 0.500
Ho 0.500 0.500 0.500

=====

# 9
Density functional theory data (PBE) for a geometry-optimized MgSN2O structure.

Output
Symmetry ... No. 123
Crystal system ... tetragonal
ΔE_f (raw) ... 7.8 eV/f.u.

Lattice parameters (Å, degrees): 4.189 4.189 3.773 90.00 90.00 90.00
Sites, in units of the cell vectors:
S 0.500 0.500 0.500
N 0.500 0.000 0.000
N 0.000 0.500 0.000
Mg 0.000 0.000 0.000
O 0.000 0.000 0.500

=====

# 10
Density functional theory data (PBE) for a geometry-optimized CsSbPb structure.

Output
Symmetry ... No. 44
Crystal system ... orthorhombic
ΔE_f (raw) ... -1.0 eV/f.u.

Lattice parameters (Å, degrees): 7.106 7.217 10.097 90.00 90.00 90.00
Sites, in units of the cell vectors:
Cs 0.000 0.500 0.038
Cs 0.500 0.500 0.790
Cs 0.000 0.000 0.290
Cs 0.500 0.000 0.538
Pb 0.273 0.500 0.400
Pb 0.773 0.000 0.900
Pb 0.227 0.000 0.900
Pb 0.727 0.500 0.400
Sb 0.500 0.300 0.183
Sb 0.000 0.200 0.683
Sb 0.000 0.800 0.683
Sb 0.500 0.700 0.183

=====

# 11
Density functional theory data (PBE) for a geometry-optimized Sr2ScTc structure.

Output
Symmetry ... No. 139
Polymorph energy (0 for the lowest one) ... 2.005 eV per formula unit
Crystal system ... tetragonal

Lattice parameters (Å, degrees): 6.083 6.083 6.083 135.21 135.21 65.20
Sites, in units of the cell vectors:
Tc 0.250 0.750 0.500
Sr 0.000 0.000 0.000
Sr 0.500 0.500 0.000
Sc 0.750 0.250 0.500

=====

# 12
Density functional theory data (PBE) for a geometry-optimized Ta2PtAu structure.

Output
Symmetry ... No. 44
Crystal system ... orthorhombic
DFT total energy ... -33.66 eV per cell

Lattice parameters (Å, degrees): 5.700 5.700 5.700 150.50 128.69 60.30
Sites, in units of the cell vectors:
Pt 0.242 0.742 0.500
Ta 0.006 0.006 0.000
Ta 0.757 0.257 0.500
Au 0.495 0.495 0.000

=====

The calculation returns the following total magnetization values, one per record and in order: 3.93 0.00 0.00 1.79 4.04 1.75 8.00 0.00 3.07 0.00 0.38 0.00 μB per cell.